[1]
CsCd12: optimized geometry, GGA-PBE.

Unit cell a=8.696 b=8.696 c=8.696 alpha=60.00 beta=60.00 gamma=60.00
Atoms (fractional coordinates):
Cs  0.000  0.000  0.000
Cd  0.160  0.500  0.500
Cd  0.160  0.500  0.840
Cd  0.160  0.840  0.500
Cd  0.500  0.160  0.500
Cd  0.500  0.160  0.840
Cd  0.500  0.500  0.160
Cd  0.500  0.500  0.840
Cd  0.500  0.840  0.160
Cd  0.500  0.840  0.500
Cd  0.840  0.160  0.500
Cd  0.840  0.500  0.160
Cd  0.840  0.500  0.500

Output
* total energy: -0.751 eV per atom
* energy of formation from the pure elements: 15 kJ per mole of atoms
* symmetry: Fm-3m

[2]
CsCd4: optimized geometry, GGA-PBE.

Unit cell a=5.361 b=5.361 c=11.545 alpha=90.00 beta=90.00 gamma=90.00
Atoms (fractional coordinates):
Cs  0.000  0.000  0.000
Cs  0.500  0.500  0.500
Cd  0.000  0.000  0.370
Cd  0.000  0.000  0.630
Cd  0.000  0.500  0.250
Cd  0.000  0.500  0.750
Cd  0.500  0.000  0.250
Cd  0.500  0.000  0.750
Cd  0.500  0.500  0.130
Cd  0.500  0.500  0.870

Output
* total energy: -0.946 eV per atom
* energy of formation from the pure elements: -4 kJ per mole of atoms
* symmetry: I4/mmm

[3]
Cs2Cd3: optimized geometry, GGA-PBE.

Unit cell a=7.574 b=7.574 c=9.949 alpha=90.00 beta=90.00 gamma=130.31
Atoms (fractional coordinates):
Cs  0.167  0.833  0.902
Cs  0.333  0.667  0.402
Cs  0.667  0.333  0.598
Cs  0.833  0.167  0.098
Cd  0.000  0.000  0.500
Cd  0.174  0.326  0.750
Cd  0.326  0.174  0.250
Cd  0.500  0.500  0.000
Cd  0.674  0.826  0.750
Cd  0.826  0.674  0.250

Output
* total energy: -0.939 eV per atom
* energy of formation from the pure elements: -5 kJ per mole of atoms
* symmetry: Cmce

[4]
Cs5Cd: optimized geometry, GGA-PBE.

Unit cell a=15.099 b=5.916 c=12.292 alpha=90.00 beta=90.00 gamma=90.00
Atoms (fractional coordinates):
Cs  0.000  0.000  0.000
Cs  0.081  0.500  0.313
Cs  0.250  0.000  0.589
Cs  0.250  0.500  0.946
Cs  0.419  0.500  0.313
Cs  0.500  0.000  0.000
Cs  0.581  0.500  0.687
Cs  0.750  0.000  0.411
Cs  0.750  0.500  0.054
Cs  0.919  0.500  0.687
Cd  0.250  0.000  0.183
Cd  0.750  0.000  0.817

Output
* total energy: -0.867 eV per atom
* energy of formation from the pure elements: 0 kJ per mole of atoms
* symmetry: Pmma

[5]
Cs3Cd: optimized geometry, GGA-PBE.

Unit cell a=5.349 b=13.897 c=8.846 alpha=90.00 beta=90.00 gamma=90.00
Atoms (fractional coordinates):
Cs  0.000  0.000  0.000
Cs  0.000  0.187  0.484
Cs  0.000  0.813  0.484
Cs  0.500  0.313  0.984
Cs  0.500  0.500  0.500
Cs  0.500  0.687  0.984
Cd  0.000  0.500  0.169
Cd  0.500  0.000  0.669

Output
* total energy: -0.858 eV per atom
* energy of formation from the pure elements: 1 kJ per mole of atoms
* symmetry: Imm2

[6]
Cs7Cd: optimized geometry, GGA-PBE.

Unit cell a=14.285 b=14.285 c=14.285 alpha=33.50 beta=33.50 gamma=33.50
Atoms (fractional coordinates):
Cs  0.000  0.000  0.000
Cs  0.142  0.142  0.142
Cs  0.271  0.271  0.271
Cs  0.403  0.403  0.403
Cs  0.597  0.597  0.597
Cs  0.729  0.729  0.729
Cs  0.858  0.858  0.858
Cd  0.500  0.500  0.500

Output
* total energy: -0.824 eV per atom
* energy of formation from the pure elements: 4 kJ per mole of atoms
* symmetry: R-3m

[7]
Cs6Cd: optimized geometry, GGA-PBE.

Unit cell a=14.092 b=14.092 c=14.092 alpha=90.00 beta=90.00 gamma=90.00
Atoms (fractional coordinates):
Cs  0.000  0.250  0.500
Cs  0.000  0.500  0.250
Cs  0.000  0.500  0.750
Cs  0.000  0.750  0.500
Cs  0.250  0.000  0.500
Cs  0.250  0.500  0.000
Cs  0.500  0.000  0.250
Cs  0.500  0.000  0.750
Cs  0.500  0.250  0.000
Cs  0.500  0.750  0.000
Cs  0.750  0.000  0.500
Cs  0.750  0.500  0.000
Cd  0.000  0.000  0.000
Cd  0.500  0.500  0.500

Output
* total energy: -0.528 eV per atom
* energy of formation from the pure elements: 32 kJ per mole of atoms
* symmetry: Im-3m

[8]
Cs5Cd4: optimized geometry, GGA-PBE.

Unit cell a=7.760 b=7.760 c=13.367 alpha=109.71 beta=109.71 gamma=44.44
Atoms (fractional coordinates):
Cs  0.000  0.000  0.000
Cs  0.116  0.116  0.401
Cs  0.243  0.243  0.821
Cs  0.757  0.757  0.179
Cs  0.884  0.884  0.599
Cd  0.416  0.416  0.391
Cd  0.456  0.456  0.187
Cd  0.544  0.544  0.813
Cd  0.584  0.584  0.609

Output
* total energy: -0.913 eV per atom
* energy of formation from the pure elements: -3 kJ per mole of atoms
* symmetry: C2/m

[9]
Cs3Cd: optimized geometry, GGA-PBE.

Unit cell a=5.602 b=17.190 c=13.014 alpha=90.00 beta=90.00 gamma=90.00
Atoms (fractional coordinates):
Cs  0.000  0.072  0.250
Cs  0.000  0.352  0.064
Cs  0.000  0.352  0.436
Cs  0.000  0.648  0.564
Cs  0.000  0.648  0.936
Cs  0.000  0.928  0.750
Cs  0.500  0.148  0.564
Cs  0.500  0.148  0.936
Cs  0.500  0.428  0.750
Cs  0.500  0.572  0.250
Cs  0.500  0.852  0.064
Cs  0.500  0.852  0.436
Cd  0.000  0.254  0.750
Cd  0.000  0.746  0.250
Cd  0.500  0.246  0.250
Cd  0.500  0.754  0.750

Output
* total energy: -0.884 eV per atom
* energy of formation from the pure elements: -1 kJ per mole of atoms
* symmetry: Cmcm

[10]
CsCd6: optimized geometry, GGA-PBE.

Unit cell a=9.756 b=6.538 c=12.355 alpha=90.00 beta=90.00 gamma=90.00
Atoms (fractional coordinates):
Cs  0.238  0.250  0.059
Cs  0.262  0.750  0.559
Cs  0.738  0.250  0.441
Cs  0.762  0.750  0.941
Cd  0.063  0.013  0.309
Cd  0.063  0.487  0.309
Cd  0.078  0.750  0.096
Cd  0.096  0.250  0.519
Cd  0.139  0.750  0.859
Cd  0.182  0.250  0.758
Cd  0.318  0.750  0.258
Cd  0.361  0.250  0.359
Cd  0.404  0.750  0.019
Cd  0.422  0.250  0.596
Cd  0.437  0.513  0.809
Cd  0.437  0.987  0.809
Cd  0.563  0.013  0.191
Cd  0.563  0.487  0.191
Cd  0.578  0.750  0.404
Cd  0.596  0.250  0.981
Cd  0.639  0.750  0.641
Cd  0.682  0.250  0.742
Cd  0.818  0.750  0.242
Cd  0.861  0.250  0.141
Cd  0.904  0.750  0.481
Cd  0.922  0.250  0.904
Cd  0.937  0.513  0.691
Cd  0.937  0.987  0.691

Output
* total energy: -0.924 eV per atom
* energy of formation from the pure elements: -2 kJ per mole of atoms
* symmetry: Pnma

[11]
CsCd12: optimized geometry, GGA-PBE.

Unit cell a=8.016 b=8.016 c=8.016 alpha=98.14 beta=98.14 gamma=135.79
Atoms (fractional coordinates):
Cs  0.000  0.000  0.000
Cd  0.000  0.000  0.500
Cd  0.000  0.356  0.356
Cd  0.000  0.500  0.000
Cd  0.000  0.644  0.644
Cd  0.270  0.500  0.770
Cd  0.356  0.000  0.356
Cd  0.500  0.000  0.000
Cd  0.500  0.270  0.770
Cd  0.500  0.500  0.500
Cd  0.500  0.730  0.230
Cd  0.644  0.000  0.644
Cd  0.730  0.500  0.230

Output
* total energy: -0.920 eV per atom
* energy of formation from the pure elements: -1 kJ per mole of atoms
* symmetry: I4/mmm

[12]
CsCd4: optimized geometry, GGA-PBE.

Unit cell a=5.733 b=5.733 c=5.653 alpha=90.00 beta=90.00 gamma=90.00
Atoms (fractional coordinates):
Cs  0.000  0.000  0.000
Cd  0.000  0.500  0.500
Cd  0.500  0.000  0.500
Cd  0.500  0.500  0.000
Cd  0.500  0.500  0.500

Output
* total energy: -0.849 eV per atom
* energy of formation from the pure elements: 5 kJ per mole of atoms
* symmetry: P4/mmm